LiNd2GeO after structural relaxation, computed with GGA-PBE.

The calculation puts the formation energy (no corrections) at -1.500 eV/atom. The space group is P4/mmm, No. 123. The value obtained for the magnetic moment is 0.0000 μB per atom.

Cell lengths 4.1339, 4.9118, 4.9118 Å; angles 90.00, 90.00, 90.00 degrees
Last column: nearest neighbours and their distance in Å.
Fractional positions:
Li 0.5000 0.0000 0.0000  2 O 2.07
Nd 0.0000 0.5000 0.0000  2 O 2.46
Nd 0.0000 0.0000 0.5000  2 O 2.46
O 0.0000 0.0000 0.0000  2 Li 2.07
Ge 0.5000 0.5000 0.5000  8 Nd 3.21, 4 Li 3.47